Compound: Cd2Hg4Au
Source: the Alexandria database
Functional: PBE-GGA
Structure: relaxed

Computed properties:
* N(E_F): 2.4 states/eV per cell
* calculated volume: 220 Å³ per cell
* space group: I4/mmm
* uncorrected energy: -0.80 eV/atom

Cell and atoms, written as POSCAR:
```
Cd2Hg4Au
1.0
-1.2825 4.5904 2.9461
-5.1052 0.0553 -2.3086
0.7880 -6.3477 4.9052
Cd Hg Au
2 4 1
direct
0.3964 0.3964 0.7927 Cd
0.6036 0.6036 0.2073 Cd
0.0000 0.5000 0.0000 Hg
0.8037 0.8037 0.6075 Hg
0.1963 0.1963 0.3925 Hg
0.5000 0.0000 0.0000 Hg
0.0000 0.0000 0.0000 Au
```